Density functional theory data (GGA+U) for an optimized crystal structure of CoPdSeO.

a b c (Å): 6.667 6.667 6.081
angles (deg): 90.00 90.00 153.24
Last column: magnetic moment on the atom in μB.
Fractional positions:
Se (0.159, 0.841, 0.543)  0.02
O (0.396, 0.604, 0.556)  0.10
Pd (0.513, 0.487, 0.331)  -0.01
Co (0.816, 0.184, 0.462)  2.48
Se (0.841, 0.159, 0.043)  0.02
Co (0.184, 0.816, 0.962)  2.48
O (0.604, 0.396, 0.056)  0.10
Pd (0.487, 0.513, 0.831)  -0.03

Calculated values
Space-group type ... Cmc2_1
Total DFT energy (no corrections) ... -4.951 eV per atom
Volume ... 15.2 A^3/atom